Compound: BaPdPt2Rh
Source: Alexandria via LeMat-Bulk
Functional: PBE
Structure: optimized geometry

a = 5.265 Å, b = 5.265 Å, c = 5.023 Å
α = 90.00°, β = 90.00°, γ = 90.00°
Sites, in units of the cell vectors:
1 Ba 0.000 0.000 0.000
2 Pd 0.500 0.500 0.500
3 Pt 0.000 0.500 0.000
4 Pt 0.500 0.000 0.000
5 Rh 0.000 0.000 0.500

Output
Uncorrected energy: -3.444 eV per atom
Space-group type: P4/mmm, No. 123